CsRb2TlSe | PBE | optimized geometry

```
data_CsRb2TlSe
_chemical_formula_sum 'Cs1 Rb2 Tl1 Se1'
_space_group_name_H-M_alt 'P 1'
_space_group_IT_number 1
_space_group_name_Hall 'P 1'
_cell_length_a 6.6338
_cell_length_b 6.6338
_cell_length_c 7.0238
_cell_angle_alpha 90.00
_cell_angle_beta 90.00
_cell_angle_gamma 90.00
loop_
_atom_site_label
_atom_site_type_symbol
_atom_site_fract_x
_atom_site_fract_y
_atom_site_fract_z
Cs1 Cs 0.0000 0.0000 0.0000
Rb1 Rb 0.0000 0.5000 0.5000
Rb2 Rb 0.5000 0.0000 0.5000
Tl1 Tl 0.5000 0.5000 0.0000
Se1 Se 0.0000 0.0000 0.5000
```

Values from the calculation:
For the energy relative to the elements, uncorrected, the calculation gives -2.05 eV per formula unit. The spin magnetization is 1.7 μB per formula unit. The space group is P4/mmm, No. 123. The calculated volume comes out at 309.1 Å³/cell.